Record 1
Crystalline Li4In2IrPd at its relaxed geometry, computed with PBE.

a b c (Å): 4.469 4.469 6.325
angles (deg): 90.00 90.00 90.00
Positions (direct):
Ir1 0.000 0.000 0.000
Li1 0.000 0.500 0.751
Li2 0.500 0.500 0.000
Li3 0.500 0.000 0.249
Li4 0.000 0.000 0.500
Pd1 0.500 0.500 0.500
In1 0.500 0.000 0.757
In2 0.000 0.500 0.243

Record 2
Crystalline Li2Sc2In2IrPd at its relaxed geometry, computed with PBE.

a b c (Å): 4.624 4.624 6.538
angles (deg): 90.00 90.00 90.00
Positions (direct):
In1 0.000 0.500 0.751
In2 0.500 0.000 0.249
Li1 0.000 0.000 0.500
Li2 0.500 0.500 0.000
Sc1 0.000 0.500 0.240
Sc2 0.500 0.000 0.760
Pd1 0.500 0.500 0.500
Ir1 0.000 0.000 0.000

Record 3
Crystalline Li2Zr2In2IrPd at its relaxed geometry, computed with PBE.

a b c (Å): 4.623 4.623 6.533
angles (deg): 90.00 90.00 90.00
Positions (direct):
In1 0.000 0.500 0.251
In2 0.500 0.000 0.749
Ir1 0.500 0.500 0.000
Li1 0.000 0.000 0.000
Li2 0.500 0.500 0.500
Zr1 0.500 0.000 0.242
Zr2 0.000 0.500 0.758
Pd1 0.000 0.000 0.500

Record 4
Crystalline Li4In2IrPt at its relaxed geometry, computed with PBE.

a b c (Å): 4.465 4.465 6.325
angles (deg): 90.00 90.00 90.00
Positions (direct):
Li1 0.500 0.500 0.500
Li2 0.000 0.000 0.000
Li3 0.500 0.000 0.750
Li4 0.000 0.500 0.250
In1 0.000 0.500 0.744
In2 0.500 0.000 0.256
Pt1 0.500 0.500 0.000
Ir1 0.000 0.000 0.500

Record 5
Crystalline Li2InIrS4 at its relaxed geometry, computed with PBE.

a b c (Å): 6.702 6.702 6.702
angles (deg): 129.67 129.67 73.94
Last column: magnetic moment on the atom in μB.
Positions (direct):
S1 0.374 0.365 0.514  0.08
S2 0.139 0.626 0.991  0.08
S3 0.635 0.148 0.009  0.08
S4 0.852 0.861 0.486  0.08
Li1 0.000 0.000 0.000  0.02
Li2 0.750 0.250 0.500  0.01
Ir1 0.500 0.500 0.000  0.92
In1 0.250 0.750 0.500  0.03

Record 6
Crystalline Li2Sc2InSnIr2 at its relaxed geometry, computed with PBE.

a b c (Å): 4.588 4.588 6.497
angles (deg): 90.00 90.00 90.00
Positions (direct):
Li1 0.500 0.000 0.249
Li2 0.000 0.500 0.751
Ir1 0.500 0.000 0.748
Ir2 0.000 0.500 0.252
Sn1 0.500 0.500 0.500
Sc1 0.500 0.500 0.000
Sc2 0.000 0.000 0.500
In1 0.000 0.000 0.000

Number 1: total energy -3.790 eV per atom. Number 2: total energy -5.104 eV per atom. Number 3: total energy -5.619 eV per atom. Number 4: total energy -3.936 eV per atom. Number 5: total energy -4.512 eV per atom. Number 6: total energy -5.761 eV per atom.